# NaErPu2Se4

A relaxed NaErPu2Se4 crystal (PBE, the Alexandria database).

Output
ΔE_f (raw) ... -1.523 eV per atom
DOS(E_F) ... 25.7 states/eV per cell

Cell lengths 7.134, 4.136, 7.246 Å; angles 90.00, 109.57, 90.00 degrees
Space group P2/m (No. 10)
Unique sites:
Na  0.000  0.000  0.000
Er  0.000  0.500  0.500
Pu  0.500  0.000  0.500
Pu  0.500  0.500  0.000
Se  0.243  0.000  0.745
Se  0.247  0.500  0.258